The following is a PBEsol calculation of a relaxed structure of Ba2ZrTcB, from Alexandria.

Cell and atoms, written as POSCAR:
```
Ba2ZrTcB
1.0
6.264 0.000 0.000
0.000 6.264 0.000
0.000 0.000 4.498
Ba Zr Tc B
2 1 1 1
Cartesian
0.000 3.132 0.000
3.132 0.000 0.000
0.000 0.000 0.000
0.000 0.000 2.249
3.132 3.132 2.249
```

Summary:
For the volume, the calculation gives 35.304 Å³ per atom. For the formation energy, the calculation gives 1.729 eV per atom. Its crystal system is tetragonal.